1) VASP calculation (PBE) on a relaxed structure of TaHg2Br.

Computed properties:
Magnetic moment: 0.16 μB/cell
Crystal system: orthorhombic
Density: 12.56 g/cm3

Cell: 3.111 4.953 5.681 Å, 90.00 90.00 90.00°
Atoms (fractional coordinates):
Ta: 0.000 0.000 0.000
Hg: 0.000 0.500 0.500
Hg: 0.500 0.000 0.500
Br: 0.500 0.500 0.000

=====

2) VASP calculation (PBE) on a relaxed structure of TaHg2Br.

Computed properties:
Magnetic moment: 2.52 μB/cell
Crystal system: tetragonal
Density: 12.11 g/cm3

Cell: 6.049 6.049 6.049 Å, 139.96 139.96 57.91°
Atoms (fractional coordinates):
Ta: 0.000 0.000 0.000
Hg: 0.250 0.750 0.500
Hg: 0.750 0.250 0.500
Br: 0.500 0.500 0.000

=====

3) VASP calculation (PBE) on a relaxed structure of TaHg2Br.

Computed properties:
Magnetic moment: 0.00 μB/cell
Crystal system: trigonal
Density: 12.35 g/cm3

Cell: 9.352 9.352 9.352 Å, 20.65 20.65 20.65°
Atoms (fractional coordinates):
Ta: 0.000 0.000 0.000
Hg: 0.252 0.252 0.252
Hg: 0.748 0.748 0.748
Br: 0.500 0.500 0.500

=====

Which one is most stable, and which one is least stable? 3) is the most stable of them, while 2) is the least stable.

=====

1) VASP calculation (PBE) on a relaxed structure of TaHg2Br.

Computed properties:
Magnetic moment: 0.00 μB/cell
Crystal system: orthorhombic
Density: 12.71 g/cm3

Cell: 5.527 5.527 3.113 Å, 90.00 90.00 114.58°
Atoms (fractional coordinates):
Ta: 0.000 0.000 0.000
Hg: 0.000 0.500 0.500
Hg: 0.500 0.000 0.500
Br: 0.500 0.500 0.000

=====

2) VASP calculation (PBE) on a relaxed structure of TaHg2Br.

Computed properties:
Magnetic moment: 0.00 μB/cell
Crystal system: monoclinic
Density: 10.47 g/cm3

Cell: 5.360 5.360 7.550 Å, 100.23 100.23 87.53°
Atoms (fractional coordinates):
Ta: 0.000 0.000 0.000
Ta: 0.655 0.655 0.001
Hg: 0.110 0.484 0.873
Hg: 0.484 0.110 0.873
Hg: 0.521 0.521 0.609
Hg: 0.947 0.947 0.604
Br: 0.390 0.891 0.259
Br: 0.891 0.390 0.259

=====

Which one is most stable, and which one is least stable? 2) is the most stable of them, while 1) is the least stable.

=====

1) VASP calculation (PBE) on a relaxed structure of TaHg2Br.

Computed properties:
Magnetic moment: 0.00 μB/cell
Crystal system: monoclinic
Density: 10.36 g/cm3

Cell: 5.921 3.342 10.740 Å, 90.00 92.99 90.00°
Atoms (fractional coordinates):
Ta: 0.000 0.000 0.000
Ta: 0.364 0.500 0.016
Hg: 0.298 0.000 0.235
Hg: 0.383 0.000 0.509
Hg: 0.774 0.500 0.185
Hg: 0.858 0.500 0.463
Br: 0.077 0.500 0.813
Br: 0.587 0.000 0.865

=====

2) VASP calculation (PBE) on a relaxed structure of TaHg2Br.

Computed properties:
Magnetic moment: 0.00 μB/cell
Crystal system: trigonal
Density: 11.40 g/cm3

Cell: 10.793 10.793 10.793 Å, 17.25 17.25 17.25°
Atoms (fractional coordinates):
Ta: 0.000 0.000 0.000
Hg: 0.260 0.260 0.260
Hg: 0.503 0.503 0.503
Br: 0.725 0.725 0.725

=====

3) VASP calculation (PBE) on a relaxed structure of TaHg2Br.

Computed properties:
Magnetic moment: 0.00 μB/cell
Crystal system: monoclinic
Density: 11.95 g/cm3

Cell: 3.196 5.642 5.129 Å, 90.00 96.14 90.00°
Atoms (fractional coordinates):
Ta: 0.000 0.000 0.000
Hg: 0.304 0.500 0.237
Hg: 0.696 0.500 0.763
Br: 0.000 0.000 0.500

=====

Which one is most stable, and which one is least stable? 1) is the most stable of them, while 3) is the least stable.